# CePmOsCl, optimized geometry, DFT PBE-GGA
data_CePmOsCl
_chemical_formula_sum 'Ce1 Pm1 Os1 Cl1'
_cell_length_a 7.985
_cell_length_b 7.985
_cell_length_c 7.985
_cell_angle_alpha 29.09
_cell_angle_beta 29.09
_cell_angle_gamma 29.09
_symmetry_space_group_name_H-M 'P 1'
_symmetry_Int_Tables_number 1
loop_
_symmetry_equiv_pos_as_xyz
'x,y,z'
loop_
_atom_site_label
_atom_site_type_symbol
_atom_site_fract_x
_atom_site_fract_y
_atom_site_fract_z
Ce1 Ce 0.000 0.000 0.000
Pm1 Pm 0.199 0.199 0.199
Os1 Os 0.607 0.607 0.607
Cl1 Cl 0.432 0.432 0.432
# formation energy without anion corrections	-0.82	eV/atom
# volume	26.6	A^3/atom
# N(E_F)	3.7	states/eV/f.u.
# energy	-6.7574	eV per atom
# total magnetization	0.26	μB/cell